# SrTaSb2, relaxed, DFT GGA-PBE
data_SrTaSb2
_cell_length_a 7.430
_cell_length_b 7.430
_cell_length_c 7.430
_cell_angle_alpha 90.00
_cell_angle_beta 90.00
_cell_angle_gamma 90.00
_symmetry_space_group_name_H-M 'F -4 3 m'
_symmetry_Int_Tables_number 216
_symmetry_space_group_name_Hall 'F -4 2 3'
loop_
_atom_site_label
_atom_site_type_symbol
_atom_site_fract_x
_atom_site_fract_y
_atom_site_fract_z
Sr1 Sr 0.000 0.000 0.000
Ta1 Ta 0.250 0.250 0.250
Sb1 Sb 0.000 0.000 0.500
Sb2 Sb 0.250 0.250 0.750
# DOS(E_F)   13.2 states/eV/cell
# Distance to the lowest polymorph of the same formula   328 kJ/mol of formula units
# E_form (uncorrected)   2.2 eV per formula unit
# Energy   -4.90 eV per atom

***

# SrTaSb2, relaxed, DFT GGA-PBE
data_SrTaSb2
_cell_length_a 3.508
_cell_length_b 5.494
_cell_length_c 5.923
_cell_angle_alpha 90.00
_cell_angle_beta 107.11
_cell_angle_gamma 90.00
_symmetry_space_group_name_H-M 'P 1 m 1'
_symmetry_Int_Tables_number 6
_symmetry_space_group_name_Hall 'P -2y'
loop_
_atom_site_label
_atom_site_type_symbol
_atom_site_fract_x
_atom_site_fract_y
_atom_site_fract_z
Sr1 Sr 0.000 0.000 0.000
Ta1 Ta 0.717 0.500 0.439
Sb1 Sb 0.431 0.500 0.864
Sb2 Sb 0.728 0.000 0.458
# DOS(E_F)   2.7 states/eV/cell
# Distance to the lowest polymorph of the same formula   126 kJ/mol of formula units
# E_form (uncorrected)   0.1 eV per formula unit
# Energy   -5.42 eV per atom

***

# SrTaSb2, relaxed, DFT GGA-PBE
data_SrTaSb2
_cell_length_a 7.389
_cell_length_b 7.389
_cell_length_c 7.389
_cell_angle_alpha 90.00
_cell_angle_beta 90.00
_cell_angle_gamma 90.00
_symmetry_space_group_name_H-M 'F m -3 m'
_symmetry_Int_Tables_number 225
_symmetry_space_group_name_Hall '-F 4 2 3'
loop_
_atom_site_label
_atom_site_type_symbol
_atom_site_fract_x
_atom_site_fract_y
_atom_site_fract_z
Sr1 Sr 0.000 0.000 0.000
Ta1 Ta 0.000 0.000 0.500
Sb1 Sb 0.250 0.250 0.250
# DOS(E_F)   10.7 states/eV/cell
# Distance to the lowest polymorph of the same formula   130 kJ/mol of formula units
# E_form (uncorrected)   0.1 eV per formula unit
# Energy   -5.42 eV per atom

***

# SrTaSb4, relaxed, DFT GGA-PBE
data_SrTaSb4
_cell_length_a 8.824
_cell_length_b 8.824
_cell_length_c 8.824
_cell_angle_alpha 90.00
_cell_angle_beta 90.00
_cell_angle_gamma 90.00
_symmetry_space_group_name_H-M 'F -4 3 m'
_symmetry_Int_Tables_number 216
_symmetry_space_group_name_Hall 'F -4 2 3'
loop_
_atom_site_label
_atom_site_type_symbol
_atom_site_fract_x
_atom_site_fract_y
_atom_site_fract_z
Sr1 Sr 0.000 0.000 0.000
Ta1 Ta 0.250 0.250 0.250
Sb1 Sb 0.124 0.124 0.624
# DOS(E_F)   25.0 states/eV/cell
# E_form (uncorrected)   3.1 eV per formula unit
# Energy   -4.49 eV per atom

***

# SrTa2Sb, relaxed, DFT GGA-PBE
data_SrTa2Sb
_cell_length_a 3.733
_cell_length_b 4.985
_cell_length_c 10.005
_cell_angle_alpha 90.00
_cell_angle_beta 90.00
_cell_angle_gamma 90.00
_symmetry_space_group_name_H-M 'C m m m'
_symmetry_Int_Tables_number 65
_symmetry_space_group_name_Hall '-C 2 2'
loop_
_atom_site_label
_atom_site_type_symbol
_atom_site_fract_x
_atom_site_fract_y
_atom_site_fract_z
Sr1 Sr 0.000 0.000 0.000
Ta1 Ta 0.000 0.500 0.286
Sb1 Sb 0.000 0.000 0.500
# DOS(E_F)   10.1 states/eV/cell
# E_form (uncorrected)   2.8 eV per formula unit
# Energy   -6.67 eV per atom

***

# SrTa2Sb, relaxed, DFT GGA-PBE
data_SrTa2Sb
_cell_length_a 3.695
_cell_length_b 5.143
_cell_length_c 9.957
_cell_angle_alpha 90.00
_cell_angle_beta 90.00
_cell_angle_gamma 90.00
_symmetry_space_group_name_H-M 'I m m 2'
_symmetry_Int_Tables_number 44
_symmetry_space_group_name_Hall 'I 2 -2'
loop_
_atom_site_label
_atom_site_type_symbol
_atom_site_fract_x
_atom_site_fract_y
_atom_site_fract_z
Sr1 Sr 0.000 0.000 0.000
Ta1 Ta 0.000 0.000 0.463
Ta2 Ta 0.000 0.500 0.764
Sb1 Sb 0.000 0.500 0.222
# DOS(E_F)   10.9 states/eV/cell
# E_form (uncorrected)   2.5 eV per formula unit
# Energy   -6.76 eV per atom

***

Which of these has the lowest energy? number 6